{
  "formula": "SrPd",
  "functional": "PBE-GGA",
  "state": "optimized geometry",
  "ef_mev_per_atom": -175,
  "total_magnetization_mub_per_cell": 0.0,
  "e_tot_ev_per_atom": -3.613,
  "spacegroup": "I-43m (217)",
  "lattice": [[-4.491, 4.491, 4.491], [4.491, -4.491, 4.491], [4.491, 4.491, -4.491]],
  "species": ["Sr", "Sr", "Sr", "Sr", "Pd", "Pd", "Pd", "Pd"],
  "fractional_positions": [[0.000, 0.000, 0.595], [0.000, 0.595, 0.000], [0.405, 0.405, 0.405], [0.595, 0.000, 0.000], [0.000, 0.000, 0.219], [0.000, 0.219, 0.000], [0.219, 0.000, 0.000], [0.781, 0.781, 0.781]]
}